Material: CsPd4Cl12
Method: DFT, PBE
State: optimized geometry

Cell: 8.135 8.135 8.135 Å, 109.47 109.47 109.47°
Fractional coordinates of all 17 atoms:
Cl 0.495 0.802 0.694
Cl 0.694 0.892 0.198
Cl 0.306 0.108 0.802
Cl 0.306 0.505 0.198
Cl 0.802 0.694 0.495
Cl 0.694 0.495 0.802
Cl 0.198 0.306 0.505
Cl 0.108 0.802 0.306
Cl 0.505 0.198 0.306
Cl 0.892 0.198 0.694
Cl 0.198 0.694 0.892
Cl 0.802 0.306 0.108
Pd 0.500 0.000 0.000
Pd 0.000 0.000 0.500
Pd 0.500 0.500 0.500
Pd 0.000 0.500 0.000
Cs 0.000 0.000 0.000

---

Material: Cs3Pd2Cl7
Method: DFT, PBE
State: optimized geometry

Cell: 5.104 5.104 13.975 Å, 100.52 100.52 90.00°
Fractional coordinates of all 12 atoms:
Cl 0.185 0.185 0.370
Cl 0.593 0.093 0.186
Cl 0.907 0.407 0.814
Cl 0.815 0.815 0.630
Cl 0.000 0.000 0.000
Cl 0.407 0.907 0.814
Cl 0.093 0.593 0.186
Cs 0.500 0.500 0.000
Cs 0.318 0.318 0.636
Cs 0.682 0.682 0.364
Pd 0.092 0.092 0.185
Pd 0.908 0.908 0.815

---

Material: Cs4PdCl2
Method: DFT, PBE
State: optimized geometry

Cell: 6.509 6.509 10.281 Å, 71.54 71.54 90.00°
Fractional coordinates of all 7 atoms:
Cl 0.635 0.635 0.729
Cl 0.365 0.365 0.271
Cs 0.000 0.500 0.000
Cs 0.500 0.000 0.000
Cs 0.183 0.183 0.635
Cs 0.817 0.817 0.365
Pd 0.000 0.000 0.000

---

Material: CsPdCl4
Method: DFT, PBE
State: optimized geometry

Results
energy above the lowest structure with this stoichiometry: 0 meV/atom

Cell: 5.163 7.293 9.550 Å, 90.00 105.68 90.00°
Fractional coordinates of all 12 atoms:
Cl 0.183 0.534 0.366
Cl 0.000 0.500 0.000
Cl 0.410 0.250 0.819
Cl 0.590 0.750 0.181
Cl 0.000 0.000 0.000
Cl 0.817 0.466 0.634
Cl 0.183 0.966 0.366
Cl 0.817 0.034 0.634
Cs 0.614 0.250 0.229
Cs 0.386 0.750 0.771
Pd 0.092 0.750 0.184
Pd 0.908 0.250 0.816

---

Material: Cs5PdCl
Method: DFT, PBE
State: optimized geometry

Cell: 17.715 9.289 12.299 Å, 72.14 90.00 90.00°
Fractional coordinates of all 28 atoms:
Cs 0.177 0.183 0.333
Cs 0.823 0.817 0.667
Cs 0.606 0.568 0.933
Cs 0.596 0.633 0.517
Cs 0.394 0.432 0.067
Cs 0.677 0.817 0.167
Cs 0.591 0.131 0.797
Cs 0.409 0.869 0.203
Cs 0.323 0.183 0.833
Cs 0.091 0.869 0.703
Cs 0.404 0.367 0.483
Cs 0.862 0.222 0.834
Cs 0.362 0.778 0.666
Cs 0.638 0.222 0.334
Cs 0.106 0.432 0.567
Cs 0.904 0.633 0.017
Cs 0.138 0.778 0.166
Cs 0.909 0.131 0.297
Cs 0.894 0.568 0.433
Cs 0.096 0.367 0.983
Pd 0.530 0.556 0.246
Pd 0.970 0.556 0.746
Pd 0.470 0.444 0.754
Pd 0.030 0.444 0.254
Cl 0.258 0.136 0.099
Cl 0.742 0.864 0.901
Cl 0.242 0.136 0.599
Cl 0.758 0.864 0.401

---

Material: CsPd3Cl
Method: DFT, PBE
State: optimized geometry

Results
energy above the lowest structure with this stoichiometry: 0 meV/atom

Cell: 4.879 4.879 4.879 Å, 90.00 90.00 90.00°
Fractional coordinates of all 5 atoms:
Pd 0.000 0.000 0.500
Pd 0.000 0.500 0.000
Pd 0.500 0.000 0.000
Cl 0.000 0.000 0.000
Cs 0.500 0.500 0.500

---

Material: CsPdCl6
Method: DFT, PBE
State: optimized geometry

Cell: 6.510 6.510 7.351 Å, 66.44 66.44 73.63°
Fractional coordinates of all 8 atoms:
Cl 0.354 0.930 0.756
Cl 0.930 0.354 0.756
Cl 0.070 0.646 0.244
Cl 0.168 0.168 0.123
Cl 0.646 0.070 0.244
Cl 0.832 0.832 0.877
Pd 0.000 0.000 0.000
Cs 0.500 0.500 0.500

---

Material: CsPd2Cl7
Method: DFT, PBE
State: optimized geometry

Cell: 4.522 9.447 9.447 Å, 130.73 90.00 90.00°
Fractional coordinates of all 10 atoms:
Cl 0.500 0.656 0.935
Cl 0.500 0.344 0.065
Cl 0.000 0.678 0.322
Cl 0.500 0.500 0.500
Cl 0.500 0.935 0.656
Cl 0.500 0.065 0.344
Cl 0.000 0.322 0.678
Pd 0.500 0.361 0.639
Pd 0.500 0.639 0.361
Cs 0.000 0.000 0.000

---

| no. | uncorrected formation energy (eV/f.u.) |
| --- | --- |
| 1 | -8.839 |
| 2 | -14.864 |
| 3 | -6.548 |
| 4 | -5.555 |
| 5 | -3.390 |
| 6 | 1.119 |
| 7 | -5.292 |
| 8 | -6.438 |